A plane-wave DFT calculation with PBE was carried out for a geometry-optimized CeGe2Pd7 structure.

Values from the calculation:
total magnetic moment = 0.2 μB per formula unit
mass density = 8.45 g/cm³
E = -54.8 eV per cell
N(E_F) = 7.28 states/eV per cell
crystal system = orthorhombic
formation energy from the elements = -0.3249 eV per atom

abc: 4.518 7.105 7.105
angles: 117.40 90.00 90.00
Site moments in Bohr magnetons follow the coordinates.
Fractional positions:
1 Ce 0.000 0.000 0.000  0.26
2 Ge 0.500 0.697 0.303  0.00
3 Ge 0.500 0.303 0.697  0.00
4 Pd 0.000 0.774 0.226  -0.01
5 Pd 0.000 0.226 0.774  -0.01
6 Pd 0.500 0.064 0.308  -0.01
7 Pd 0.500 0.936 0.692  -0.01
8 Pd 0.500 0.308 0.064  -0.01
9 Pd 0.500 0.692 0.936  -0.01
10 Pd 0.500 0.500 0.500  0.00

A plane-wave DFT calculation with PBE was carried out for a geometry-optimized Cu3Pd4Pt structure.

Values from the calculation:
total magnetic moment = 0.0 μB per formula unit
mass density = 11.82 g/cm³
E = -39.6 eV per cell
polymorph energy (0 for the lowest one) = 24 meV per atom
N(E_F) = 7.88 states/eV per cell
crystal system = monoclinic
formation energy from the elements = -0.0613 eV per atom

abc: 4.458 2.833 10.216
angles: 114.58 102.42 90.00
Fractional positions:
1 Cu 0.000 0.500 0.000
2 Cu 0.888 0.662 0.775
3 Cu 0.112 0.338 0.225
4 Pd 0.235 0.204 0.469
5 Pd 0.765 0.796 0.531
6 Pd 0.630 0.892 0.261
7 Pd 0.370 0.108 0.739
8 Pt 0.500 0.000 0.000

A plane-wave DFT calculation with PBE was carried out for a geometry-optimized GeAsPd5 structure.

Values from the calculation:
total magnetic moment = 0.0 μB per formula unit
mass density = 9.09 g/cm³
E = -72.9 eV per cell
N(E_F) = 6.92 states/eV per cell
crystal system = monoclinic
formation energy from the elements = -0.1730 eV per atom

abc: 6.436 6.436 7.810
angles: 61.54 61.54 81.97
Fractional positions:
1 Ge 0.508 0.492 0.250
2 Ge 0.492 0.508 0.750
3 As 0.000 0.000 0.000
4 As 0.000 0.000 0.500
5 Pd 0.625 0.758 0.352
6 Pd 0.155 0.642 0.483
7 Pd 0.758 0.625 0.852
8 Pd 0.805 0.195 0.250
9 Pd 0.358 0.845 0.017
10 Pd 0.642 0.155 0.983
11 Pd 0.195 0.805 0.750
12 Pd 0.242 0.375 0.148
13 Pd 0.845 0.358 0.517
14 Pd 0.375 0.242 0.648

A plane-wave DFT calculation with PBE was carried out for a geometry-optimized RbCaDyF6 structure.

Values from the calculation:
total magnetic moment = 0.1 μB per formula unit
mass density = 3.31 g/cm³
E = -104.7 eV per cell
formation energy without anion corrections = -3.726 eV/atom
N(E_F) = 0.00 states/eV per cell
crystal system = orthorhombic

abc: 8.359 8.120 8.323
angles: 119.20 120.14 90.00
Site moments in Bohr magnetons follow the coordinates.
Fractional positions:
1 Rb 0.804 0.554 0.608  0.00
2 Rb 0.196 0.446 0.392  0.00
3 Ca 0.500 0.500 0.000  0.00
4 Ca 0.500 0.000 0.000  0.00
5 Dy 0.500 0.000 0.500  0.00
6 Dy 0.000 0.000 0.500  0.00
7 F 0.424 0.674 0.847  0.06
8 F 0.810 0.060 0.621  0.00
9 F 0.824 0.079 0.265  0.01
10 F 0.442 0.686 0.265  0.01
11 F 0.442 0.079 0.265  0.01
12 F 0.824 0.686 0.265  0.01
13 F 0.576 0.326 0.153  0.06
14 F 0.190 0.940 0.379  0.00
15 F 0.176 0.921 0.735  0.01
16 F 0.558 0.314 0.735  0.01
17 F 0.558 0.921 0.735  0.01
18 F 0.176 0.314 0.735  0.01